Record 1
This record from Alexandria via LeMat-Bulk describes BeTl2Br after structural relaxation. The functional is PBE.

a = 7.665 Å, b = 7.665 Å, c = 7.665 Å
α = 90.00°, β = 90.00°, γ = 90.00°
Space group F-43m (No. 216)
Symmetry-distinct sites (fractional):
Be: 0.000 0.000 0.000 [4 per cell]
Tl: 0.000 0.000 0.500 [4 per cell]
Tl: 0.250 0.250 0.250 [4 per cell]
Br: 0.250 0.250 0.750 [4 per cell]

## Properties
Uncorrected formation energy = 1.94 eV per formula unit
D(E_F) = 14.8 states/eV/cell
Calculated volume = 112.6 Å³/f.u.
Energy above the lowest structure with this stoichiometry = 10.33 kcal/mol of atoms

Record 2
This record from Alexandria via LeMat-Bulk describes BeTl2Br after structural relaxation. The functional is PBE.

a = 6.272 Å, b = 6.272 Å, c = 13.345 Å
α = 90.00°, β = 90.00°, γ = 90.00°
Space group I-42d (No. 122)
Symmetry-distinct sites (fractional):
Be: 0.000 0.000 0.000 [4 per cell]
Tl: 0.148 0.250 0.125 [8 per cell]
Br: 0.000 0.000 0.500 [4 per cell]

## Properties
Uncorrected formation energy = 0.69 eV per formula unit
D(E_F) = 26.4 states/eV/cell
Calculated volume = 131.3 Å³/f.u.
Energy above the lowest structure with this stoichiometry = 3.11 kcal/mol of atoms

Record 3
This record from Alexandria via LeMat-Bulk describes BeTl4Br after structural relaxation. The functional is PBE.

a = 9.170 Å, b = 9.170 Å, c = 9.170 Å
α = 90.00°, β = 90.00°, γ = 90.00°
Space group F-43m (No. 216)
Symmetry-distinct sites (fractional):
Be: 0.000 0.000 0.000 [4 per cell]
Tl: 0.125 0.125 0.375 [16 per cell]
Br: 0.250 0.250 0.750 [4 per cell]

## Properties
Uncorrected formation energy = 2.49 eV per formula unit
D(E_F) = 10.6 states/eV/cell
Calculated volume = 192.8 Å³/f.u.

Record 4
This record from Alexandria via LeMat-Bulk describes BeTlBr3 after structural relaxation. The functional is PBE.

a = 6.526 Å, b = 7.434 Å, c = 7.436 Å
α = 79.10°, β = 85.05°, γ = 84.99°
Space group P-1 (No. 2)
Symmetry-distinct sites (fractional):
Be: 0.000 0.155 0.346 [2 per cell]
Tl: 0.164 0.666 0.165 [2 per cell]
Br: 0.181 0.096 0.597 [2 per cell]
Br: 0.207 0.166 0.103 [2 per cell]
Br: 0.208 0.602 0.664 [2 per cell]

## Properties
Uncorrected formation energy = -4.95 eV per formula unit
D(E_F) = 0.0 states/eV/cell
Calculated volume = 176.0 Å³/f.u.
Energy above the lowest structure with this stoichiometry = 0.00 kcal/mol of atoms

Record 5
This record from Alexandria via LeMat-Bulk describes BeTlBr3 after structural relaxation. The functional is PBE.

a = 7.487 Å, b = 8.692 Å, c = 12.807 Å
α = 90.00°, β = 124.43°, γ = 90.00°
Space group P2_1/c (No. 14)
Symmetry-distinct sites (fractional):
Be: 0.203 0.161 0.098 [4 per cell]
Tl: 0.180 0.627 0.240 [4 per cell]
Br: 0.058 0.706 0.935 [4 per cell]
Br: 0.297 0.184 0.973 [4 per cell]
Br: 0.366 0.014 0.252 [4 per cell]

## Properties
Uncorrected formation energy = -4.68 eV per formula unit
D(E_F) = 0.0 states/eV/cell
Calculated volume = 171.9 Å³/f.u.
Energy above the lowest structure with this stoichiometry = 1.23 kcal/mol of atoms

Record 6
This record from Alexandria via LeMat-Bulk describes BeTl3Br6 after structural relaxation. The functional is PBE.

a = 12.950 Å, b = 15.196 Å, c = 7.178 Å
α = 90.00°, β = 90.00°, γ = 90.00°
Space group Cmc2_1 (No. 36)
Symmetry-distinct sites (fractional):
Be: 0.000 0.203 0.000 [4 per cell]
Tl: 0.000 0.425 0.703 [4 per cell]
Tl: 0.177 0.104 0.565 [8 per cell]
Br: 0.000 0.065 0.904 [4 per cell]
Br: 0.000 0.213 0.300 [4 per cell]
Br: 0.136 0.270 0.871 [8 per cell]
Br: 0.157 0.452 0.400 [8 per cell]

## Properties
Uncorrected formation energy = -7.91 eV per formula unit
D(E_F) = 20.5 states/eV/cell
Calculated volume = 353.1 Å³/f.u.

What are the size of the total moment values for these records? In order: 0.00 1.83 0.00 0.00 0.00 0.00 Bohr magnetons per cell.